# 1
Here is crystalline Cs2Hg2Bi at its relaxed geometry from Alexandria. Energies are from PBE.

CIF file:
```
data_Cs2Hg2Bi
_cell_length_a 5.3151
_cell_length_b 7.1937
_cell_length_c 11.3459
_cell_angle_alpha 90.00
_cell_angle_beta 90.00
_cell_angle_gamma 90.00
_symmetry_space_group_name_H-M 'I m m m'
_symmetry_Int_Tables_number 71
_symmetry_space_group_name_Hall '-I 2 2'
loop_
_atom_site_label
_atom_site_fract_x
_atom_site_fract_y
_atom_site_fract_z
Cs1 0.0000 0.0000 0.1970
Hg1 0.0000 0.2573 0.5000
Bi1 0.0000 0.5000 0.0000
```

offset from the most stable computed form	0	meV/atom
mass density	6.71	g/cm3
magnetization	0.00	μB per atom
density of states at the Fermi level	1.76	states/eV per cell



# 2
Here is crystalline Cs2HgBi2 at its relaxed geometry from Alexandria. Energies are from PBE.

CIF file:
```
data_Cs2HgBi2
_cell_length_a 7.6107
_cell_length_b 7.6107
_cell_length_c 9.7480
_cell_angle_alpha 90.00
_cell_angle_beta 90.00
_cell_angle_gamma 90.00
_symmetry_space_group_name_H-M 'I 4/m m m'
_symmetry_Int_Tables_number 139
_symmetry_space_group_name_Hall '-I 4 2'
loop_
_atom_site_label
_atom_site_fract_x
_atom_site_fract_y
_atom_site_fract_z
Cs1 0.0000 0.5000 0.2500
Hg1 0.0000 0.0000 0.0000
Bi1 0.0000 0.0000 0.3521
```

offset from the most stable computed form	169	meV/atom
mass density	5.20	g/cm3
magnetization	0.00	μB per atom
density of states at the Fermi level	9.68	states/eV per cell



# 3
Here is crystalline CsHgBi2 at its relaxed geometry from Alexandria. Energies are from PBE.

CIF file:
```
data_CsHgBi2
_cell_length_a 5.9526
_cell_length_b 5.9526
_cell_length_c 20.8765
_cell_angle_alpha 90.00
_cell_angle_beta 90.00
_cell_angle_gamma 90.00
_symmetry_space_group_name_H-M 'I -4 2 d'
_symmetry_Int_Tables_number 122
_symmetry_space_group_name_Hall 'I -4 2bw'
loop_
_atom_site_label
_atom_site_fract_x
_atom_site_fract_y
_atom_site_fract_z
Cs1 0.0000 0.0000 0.0000
Hg1 0.0000 0.0000 0.5000
Bi1 0.1081 0.2500 0.6250
```

mass density	6.75	g/cm3
energy	-2.31	eV per atom
magnetization	0.00	μB per atom
density of states at the Fermi level	5.12	states/eV per cell



# 4
Here is crystalline Cs4Hg2Bi5 at its relaxed geometry from Alexandria. Energies are from PBE.

CIF file:
```
data_Cs4Hg2Bi5
_cell_length_a 8.4048
_cell_length_b 6.2640
_cell_length_c 9.7252
_cell_angle_alpha 90.00
_cell_angle_beta 105.81
_cell_angle_gamma 90.00
_symmetry_space_group_name_H-M 'P 1 2/m 1'
_symmetry_Int_Tables_number 10
_symmetry_space_group_name_Hall '-P 2y'
loop_
_atom_site_label
_atom_site_fract_x
_atom_site_fract_y
_atom_site_fract_z
Cs1 0.2239 0.0000 0.1896
Cs2 0.2402 0.0000 0.6636
Hg1 0.4905 0.5000 0.8288
Bi1 0.0980 0.5000 0.3884
Bi2 0.1472 0.5000 0.9202
Bi3 0.5000 0.5000 0.5000
```

mass density	6.67	g/cm3
energy	-2.42	eV per atom
magnetization	0.00	μB per atom
density of states at the Fermi level	5.24	states/eV per cell